Computed, not measured: a relaxed structure of CeTl2Au at the GGA-PBE level of DFT.

## Properties
- Energy above the most stable polymorph in this dataset: 102 meV/atom

Geometry as extended XYZ:
```
4
Lattice="4.625 0.000 0.000 0.000 4.625 0.000 0.000 0.000 4.876" Properties=species:S:1:pos:R:3 pbc="T T T"
Ce 0.000 0.000 0.000
Tl 0.000 2.312 2.438
Tl 2.312 0.000 2.438
Au 2.312 2.312 0.000
```

---

Computed, not measured: a relaxed structure of Sr2InMo at the GGA-PBE level of DFT.

## Properties
- Total DFT energy (no corrections): -3.8271 eV per atom

Geometry as extended XYZ:
```
4
Lattice="3.780 0.000 0.000 0.000 3.780 0.000 0.000 0.000 9.014" Properties=species:S:1:pos:R:3 pbc="T T T"
Sr 0.000 0.000 0.000
Sr 1.890 1.890 3.562
In 0.000 0.000 5.839
Mo 1.890 1.890 6.749
```

---

- Which formula does entry 2 have?
  Sr2InMo